The following is a GGA-PBE calculation of a relaxed structure of Cd4NiPd, from Alexandria via LeMat-Bulk.

Geometry as POSCAR:
```
Cd4NiPd
1.0
4.4537 0.0000 0.0000
0.0000 4.4537 0.0000
0.0000 0.0000 6.4229
Cd Ni Pd
4 1 1
Direct
0.0000 0.5000 0.2381
0.0000 0.5000 0.7619
0.5000 0.0000 0.2381
0.5000 0.0000 0.7619
0.0000 0.0000 0.0000
0.5000 0.5000 0.5000
```

Results
- total magnetization (μB/f.u.) = 0.0
- space group = P4/mmm

---

The following is a GGA-PBE calculation of a relaxed structure of Al2CoTc, from Alexandria via LeMat-Bulk.

Geometry as POSCAR:
```
Al2CoTc
1.0
-1.7849 1.7849 4.1905
1.7849 -1.7849 4.1905
1.7849 1.7849 -4.1905
Al Co Tc
2 1 1
Direct
0.0000 0.0000 0.0000
0.7500 0.2500 0.5000
0.2500 0.7500 0.5000
0.5000 0.5000 0.0000
```

Results
- total magnetization (μB/f.u.) = 0.6
- offset from the most stable computed form (eV/atom) = 0.1709
- space group = I-4m2

---

The following is a GGA-PBE calculation of a relaxed structure of LaLu2Zn, from Alexandria via LeMat-Bulk.

Geometry as POSCAR:
```
LaLu2Zn
1.0
4.7424 0.0000 0.0000
0.0000 4.7424 0.0000
0.0000 0.0000 4.8316
La Lu Zn
1 2 1
Direct
0.0000 0.0000 0.0000
0.0000 0.5000 0.5000
0.5000 0.0000 0.5000
0.5000 0.5000 0.0000
```

Results
- total magnetization (μB/f.u.) = 0.0
- offset from the most stable computed form (eV/atom) = 0.1456
- space group = P4/mmm

---

The following is a GGA-PBE calculation of a relaxed structure of LiCo4Rh, from Alexandria via LeMat-Bulk.

Geometry as POSCAR:
```
LiCo4Rh
1.0
0.0000 3.3240 3.3240
3.3240 0.0000 3.3240
3.3240 3.3240 0.0000
Li Co Rh
1 4 1
Direct
0.0000 0.0000 0.0000
0.3745 0.3745 0.3745
0.3745 0.3745 0.8764
0.3745 0.8764 0.3745
0.8764 0.3745 0.3745
0.7500 0.7500 0.7500
```

Results
- total magnetization (μB/f.u.) = 7.7
- space group = F-43m

---

no.,calculated formation energy (eV/atom)
1,-0.028
2,-0.250
3,-0.013
4,0.093